1.
Ce2Bi2H after structural relaxation. Source: Alexandria via LeMat-Bulk, functional PBE.

final energy	-52.03	eV per cell

Cell and atoms, written as POSCAR:
```
Ce2Bi2H
1.0
-1.290 -3.157 2.855
6.219 -0.441 2.322
-1.271 8.124 4.946
Ce Bi H
4 4 2
Direct
0.839 0.973 0.677
0.411 0.417 0.823
0.161 0.473 0.323
0.589 0.917 0.177
0.789 0.462 0.578
0.211 0.962 0.422
0.007 0.193 0.014
0.993 0.693 0.986
0.371 0.088 0.742
0.629 0.588 0.258
```

---

2.
Ce5Bi4H after structural relaxation. Source: Alexandria via LeMat-Bulk, functional PBE.

final energy	-54.03	eV per cell

Cell and atoms, written as POSCAR:
```
Ce5Bi4H
1.0
6.467 0.000 0.000
3.233 7.060 0.000
3.233 0.000 7.060
Ce Bi H
5 4 1
Direct
0.421 0.000 0.000
0.907 0.381 0.815
0.722 0.185 0.381
0.288 0.815 0.619
0.103 0.619 0.185
0.808 0.789 0.607
0.597 0.607 0.211
0.415 0.393 0.789
0.204 0.211 0.393
0.046 0.000 0.000
```

---

3.
Ce3Bi2H after structural relaxation. Source: Alexandria via LeMat-Bulk, functional PBE.

distance to the lowest polymorph of the same formula	0	kJ/mol of formula units

Cell and atoms, written as POSCAR:
```
Ce3Bi2H
1.0
4.319 0.000 0.000
0.000 7.308 0.000
0.000 0.000 19.755
H Ce Bi
4 12 8
Direct
0.750 0.016 0.554
0.250 0.984 0.446
0.250 0.484 0.054
0.750 0.516 0.946
0.750 0.481 0.658
0.250 0.658 0.952
0.750 0.342 0.048
0.250 0.634 0.161
0.750 0.981 0.842
0.750 0.842 0.452
0.250 0.519 0.342
0.250 0.158 0.548
0.750 0.366 0.839
0.250 0.134 0.339
0.250 0.019 0.158
0.750 0.866 0.661
0.250 0.175 0.721
0.750 0.836 0.056
0.750 0.336 0.444
0.250 0.664 0.556
0.250 0.675 0.779
0.750 0.825 0.279
0.750 0.325 0.221
0.250 0.164 0.944
```

---

4.
Ce4Bi2H after structural relaxation. Source: Alexandria via LeMat-Bulk, functional PBE.

distance to the lowest polymorph of the same formula	0	kJ/mol of formula units

Cell and atoms, written as POSCAR:
```
Ce4Bi2H
1.0
4.642 0.000 0.000
0.000 4.642 0.000
-2.321 -2.321 8.757
Ce H Bi
4 1 2
Direct
0.171 0.171 0.341
0.829 0.829 0.659
0.000 0.500 0.000
0.500 0.000 0.000
0.000 0.000 0.000
0.640 0.640 0.281
0.360 0.360 0.719
```

---

Number 1: theoretical density 8.4 g/cm³, DOS at the Fermi energy 12.7 states/eV/f.u., volume 27.619 Å³/atom. Number 2: theoretical density 7.9 g/cm³, DOS at the Fermi energy 32.6 states/eV/f.u., volume 32.235 Å³/atom. Number 3: theoretical density 8.9 g/cm³, DOS at the Fermi energy 15.6 states/eV/f.u., volume 25.977 Å³/atom. Number 4: theoretical density 8.6 g/cm³, DOS at the Fermi energy 22.9 states/eV/f.u., volume 26.961 Å³/atom.